GGA-PBE HgPtSe2, optimized geometry; space group = No. 99; distance to the lowest polymorph of the same formula = 577 meV/atom; ΔE_f (raw) = 1.14 eV/f.u.
1.0
3.161 0.000 0.000
0.000 3.161 0.000
0.000 0.000 9.264
Hg Pt Se
1 1 2
Direct
0.000 0.000 0.000
0.500 0.500 0.275
0.000 0.000 0.399
0.500 0.500 0.725

GGA-PBE ZrAgH2, optimized geometry; space group = No. 122; distance to the lowest polymorph of the same formula = 0 meV/atom
1.0
4.409 0.000 0.000
0.000 4.409 0.000
0.000 0.000 10.174
Zr Ag H
4 4 8
Direct
0.000 0.000 0.000
0.000 0.500 0.250
0.500 0.000 0.750
0.500 0.500 0.500
0.000 0.000 0.500
0.000 0.500 0.750
0.500 0.000 0.250
0.500 0.500 0.000
0.223 0.250 0.125
0.250 0.723 0.375
0.250 0.777 0.875
0.277 0.250 0.625
0.723 0.750 0.625
0.750 0.223 0.875
0.750 0.277 0.375
0.777 0.750 0.125

GGA-PBE NdCuSnPd, optimized geometry; space group = No. 216; energy relative to the elements = -580 meV/atom
1.0
6.868 0.000 0.000
0.000 6.868 0.000
0.000 0.000 6.868
Nd Cu Sn Pd
4 4 4 4
Direct
0.000 0.000 0.000
0.000 0.500 0.500
0.500 0.000 0.500
0.500 0.500 0.000
0.250 0.250 0.250
0.250 0.750 0.750
0.750 0.250 0.750
0.750 0.750 0.250
0.000 0.000 0.500
0.000 0.500 0.000
0.500 0.000 0.000
0.500 0.500 0.500
0.250 0.250 0.750
0.250 0.750 0.250
0.750 0.250 0.250
0.750 0.750 0.750

GGA-PBE Cs3YN, optimized geometry; space group = No. 221; ΔE_f (raw) = 9.49 eV/f.u.
1.0
8.110 0.000 0.000
0.000 8.110 0.000
0.000 0.000 8.110
Cs Y N
3 1 1
Direct
0.000 0.000 0.500
0.000 0.500 0.000
0.500 0.000 0.000
0.000 0.000 0.000
0.500 0.500 0.500

Number 1: DOS at the Fermi energy 2.71 states/eV per cell, mass density 9.931 g/cm³. Number 2: DOS at the Fermi energy 5.53 states/eV per cell, mass density 6.755 g/cm³. Number 3: DOS at the Fermi energy 9.65 states/eV per cell, mass density 8.876 g/cm³. Number 4: DOS at the Fermi energy 108.27 states/eV per cell, mass density 1.562 g/cm³.